No. 1
Density functional theory data (PBEsol) for CuSb2Br after structural relaxation.

The uncorrected formation energy comes out at 0.341 eV per atom.

Cell lengths 3.172, 5.253, 5.253 Å; angles 90.00, 90.00, 90.00 degrees
Atoms (fractional coordinates):
Br 0.500 0.500 0.500
Cu 0.500 0.000 0.000
Sb 0.000 0.000 0.500
Sb 0.000 0.500 0.000

---

No. 2
Density functional theory data (PBEsol) for LaTaBe2 after structural relaxation.

For the formation energy, the calculation gives 229 kJ/mol of formula units.

Cell lengths 3.170, 3.170, 8.197 Å; angles 78.85, 78.85, 60.00 degrees
Atoms (fractional coordinates):
Be 0.262 0.262 0.214
Be 0.738 0.738 0.786
Ta 0.000 0.000 0.000
La 0.500 0.500 0.500

---

No. 3
Density functional theory data (PBEsol) for BaFeHg after structural relaxation.

For the formation energy, the calculation gives 99 kJ/mol of formula units.

Cell lengths 3.675, 3.675, 6.268 Å; angles 107.04, 107.04, 90.00 degrees
Atoms (fractional coordinates):
Ba 0.997 0.997 0.993
Fe 0.720 0.720 0.441
Hg 0.283 0.283 0.566

---

No. 4
Density functional theory data (PBEsol) for TaCdO2F after structural relaxation.

The uncorrected formation energy comes out at -1.863 eV per atom.

Cell lengths 3.973, 3.973, 4.241 Å; angles 90.00, 90.00, 90.00 degrees
Atoms (fractional coordinates):
Ta 0.000 0.000 0.000
O 0.000 0.500 0.000
O 0.500 0.000 0.000
F 0.000 0.000 0.500
Cd 0.500 0.500 0.500

---

No. 5
Density functional theory data (PBEsol) for Ca2OsCl after structural relaxation.

The uncorrected formation energy comes out at 0.209 eV per atom.

Cell lengths 3.164, 3.164, 9.834 Å; angles 90.00, 90.00, 90.00 degrees
Atoms (fractional coordinates):
Ca 0.500 0.500 0.309
Ca 0.000 0.000 0.961
Os 0.500 0.500 0.768
Cl 0.000 0.000 0.461

---

No. 6
Density functional theory data (PBEsol) for Rb3UF6 after structural relaxation.

The uncorrected formation energy comes out at -2.873 eV per atom.

Cell lengths 7.052, 7.052, 7.052 Å; angles 93.58, 117.95, 117.95 degrees
Atoms (fractional coordinates):
F 0.304 0.304 0.000
F 0.304 0.000 0.304
F 0.000 0.231 0.231
F 0.000 0.769 0.769
F 0.696 0.696 0.000
F 0.696 0.000 0.696
Rb 0.000 0.500 0.500
Rb 0.500 0.750 0.250
Rb 0.500 0.250 0.750
U 0.000 0.000 0.000

---

No. 7
Density functional theory data (PBEsol) for LaTcP2 after structural relaxation.

For the formation energy, the calculation gives -246 kJ/mol of formula units.

Cell lengths 4.062, 4.808, 4.808 Å; angles 71.19, 65.02, 65.02 degrees
Atoms (fractional coordinates):
La 0.500 0.000 0.000
Tc 0.000 0.500 0.500
P 0.318 0.682 0.682
P 0.682 0.318 0.318

---

No. 8
Density functional theory data (PBEsol) for P2PtI after structural relaxation.

The uncorrected formation energy comes out at 0.182 eV per atom.

Cell lengths 6.625, 6.209, 6.625 Å; angles 122.24, 90.00, 122.24 degrees
Atoms (fractional coordinates):
P 0.125 0.750 0.699
P 0.301 0.250 0.375
P 0.949 0.250 0.875
P 0.625 0.750 0.051
Pt 0.000 0.000 0.000
Pt 0.250 0.500 0.750
I 0.750 0.500 0.250
I 0.500 0.000 0.500

---

Final energy list, top to bottom, in eV per atom: -3.489, -5.880, -3.551, -7.098, -4.414, -5.552, -7.687, -4.896